one | Compound: Rb2Na2Ga
Source: the Alexandria database
Functional: GGA-PBE
Structure: relaxed

Cell: 12.214 12.214 12.214 Å, 158.41 158.41 30.72°
Element x y z (fractional)
1 Rb 0.089 0.089 0.000
2 Rb 0.911 0.911 0.000
3 Na 0.250 0.750 0.500
4 Na 0.750 0.250 0.500
5 Ga 0.500 0.500 0.000

Values from the calculation:
- volume (Å³/cell) = 246.5

---

two | Compound: Rb2Na2Ga
Source: the Alexandria database
Functional: GGA-PBE
Structure: relaxed

Cell: 8.418 8.418 6.504 Å, 90.00 90.00 90.00°
Element x y z (fractional)
1 Rb 0.186 0.314 0.000
2 Rb 0.314 0.814 0.000
3 Rb 0.686 0.186 0.000
4 Rb 0.814 0.686 0.000
5 Na 0.156 0.656 0.500
6 Na 0.344 0.156 0.500
7 Na 0.656 0.844 0.500
8 Na 0.844 0.344 0.500
9 Ga 0.000 0.000 0.500
10 Ga 0.500 0.500 0.500

Values from the calculation:
- volume (Å³/cell) = 460.9

---

three | Compound: Rb2Na2Ga
Source: the Alexandria database
Functional: GGA-PBE
Structure: relaxed

Cell: 9.675 9.675 5.589 Å, 90.00 90.00 90.00°
Element x y z (fractional)
1 Rb 0.156 0.344 0.000
2 Rb 0.344 0.844 0.000
3 Rb 0.656 0.156 0.000
4 Rb 0.844 0.656 0.000
5 Na 0.155 0.655 0.500
6 Na 0.345 0.155 0.500
7 Na 0.655 0.845 0.500
8 Na 0.845 0.345 0.500
9 Ga 0.000 0.000 0.000
10 Ga 0.500 0.500 0.000

Values from the calculation:
- volume (Å³/cell) = 523.2

---

Which structure is the most stable? The one labeled two.

---

one | Compound: RbNa3Ga
Source: the Alexandria database
Functional: GGA-PBE
Structure: relaxed

Cell: 5.948 5.948 5.948 Å, 90.00 90.00 90.00°
Element x y z (fractional)
1 Rb 0.000 0.000 0.000
2 Na 0.000 0.500 0.500
3 Na 0.500 0.000 0.500
4 Na 0.500 0.500 0.000
5 Ga 0.500 0.500 0.500

Values from the calculation:
- volume (Å³/cell) = 210.4

---

two | Compound: RbNa3Ga
Source: the Alexandria database
Functional: GGA-PBE
Structure: relaxed

Cell: 10.164 10.164 7.977 Å, 101.03 101.03 72.51°
Element x y z (fractional)
1 Rb 0.034 0.966 0.750
2 Rb 0.354 0.646 0.250
3 Rb 0.646 0.354 0.750
4 Rb 0.966 0.034 0.250
5 Na 0.008 0.354 0.094
6 Na 0.029 0.360 0.593
7 Na 0.323 0.329 0.908
8 Na 0.329 0.323 0.408
9 Na 0.354 0.008 0.594
10 Na 0.360 0.029 0.093
11 Na 0.640 0.971 0.907
12 Na 0.646 0.992 0.406
13 Na 0.671 0.677 0.592
14 Na 0.677 0.671 0.092
15 Na 0.971 0.640 0.407
16 Na 0.992 0.646 0.906
17 Ga 0.248 0.594 0.695
18 Ga 0.406 0.752 0.805
19 Ga 0.594 0.248 0.195
20 Ga 0.752 0.406 0.305

Values from the calculation:
- volume (Å³/cell) = 763.6

---

three | Compound: RbNa3Ga
Source: the Alexandria database
Functional: GGA-PBE
Structure: relaxed

Cell: 6.491 6.491 6.491 Å, 90.00 90.00 90.00°
Element x y z (fractional)
1 Rb 0.000 0.000 0.000
2 Na 0.000 0.000 0.500
3 Na 0.000 0.500 0.000
4 Na 0.500 0.000 0.000
5 Ga 0.500 0.500 0.500

Values from the calculation:
- volume (Å³/cell) = 273.5

---

Which structure is the most stable? The one labeled two.

---

one | Compound: RbNaGa4
Source: the Alexandria database
Functional: GGA-PBE
Structure: relaxed

Cell: 5.887 5.887 5.887 Å, 60.00 60.00 60.00°
Element x y z (fractional)
1 Rb 0.000 0.000 0.000
2 Na 0.750 0.750 0.750
3 Ga 0.375 0.375 0.375
4 Ga 0.375 0.375 0.874
5 Ga 0.375 0.874 0.375
6 Ga 0.874 0.375 0.375

Values from the calculation:
- volume (Å³/cell) = 144.3

---

two | Compound: RbNaGa4
Source: the Alexandria database
Functional: GGA-PBE
Structure: relaxed

Cell: 6.673 6.673 5.036 Å, 111.30 111.30 53.23°
Element x y z (fractional)
1 Rb 0.000 0.000 0.000
2 Na 0.226 0.226 0.730
3 Ga 0.140 0.568 0.356
4 Ga 0.568 0.140 0.356
5 Ga 0.568 0.568 0.569
6 Ga 0.678 0.678 0.173

Values from the calculation:
- volume (Å³/cell) = 164.2

---

Which structure is the most stable? The one labeled one.

---

one | Compound: RbNaGa3
Source: the Alexandria database
Functional: GGA-PBE
Structure: relaxed

Cell: 6.065 6.065 6.065 Å, 90.00 90.00 90.00°
Element x y z (fractional)
1 Rb 0.000 0.000 0.000
2 Na 0.500 0.500 0.500
3 Ga 0.000 0.000 0.500
4 Ga 0.000 0.500 0.000
5 Ga 0.500 0.000 0.000

Values from the calculation:
- volume (Å³/cell) = 223.1

---

two | Compound: RbNaGa3
Source: the Alexandria database
Functional: GGA-PBE
Structure: relaxed

Cell: 5.511 5.511 5.511 Å, 90.00 90.00 90.00°
Element x y z (fractional)
1 Rb 0.000 0.000 0.000
2 Na 0.500 0.500 0.500
3 Ga 0.000 0.500 0.500
4 Ga 0.500 0.000 0.500
5 Ga 0.500 0.500 0.000

Values from the calculation:
- volume (Å³/cell) = 167.3

---

Which structure is the most stable? The one labeled two.

---

one | Compound: NaVGaReW
Source: the Alexandria database
Functional: GGA-PBE
Structure: relaxed

Cell: 8.062 8.062 2.700 Å, 90.28 90.28 30.97°
Element x y z (fractional)
1 Na 0.000 0.000 0.000
2 V 0.208 0.208 0.120
3 Ga 0.627 0.627 0.550
4 Re 0.359 0.359 0.386
5 W 0.795 0.795 0.754

Values from the calculation:
- volume (Å³/cell) = 90.3

---

two | Compound: NaVGaReW
Source: the Alexandria database
Functional: GGA-PBE
Structure: relaxed

Cell: 7.009 7.009 7.009 Å, 154.68 142.83 45.51°
Element x y z (fractional)
1 Na 0.000 0.000 0.000
2 V 0.233 0.733 0.500
3 Ga 0.407 0.407 0.000
4 Re 0.779 0.279 0.500
5 W 0.630 0.630 0.000

Values from the calculation:
- volume (Å³/cell) = 88.7

---

Which structure is the most stable? The one labeled one.